{"formula": "Na3Mn2WO6", "functional": "PBE with a Hubbard U", "state": "relaxed", "lattice": [[5.3315, 0.0346, 0.0144], [-2.6345, 4.6353, 0.0144], [-0.8854, -1.5331, 5.3801]], "species": ["Na", "Na", "Na", "Mn", "Mn", "W", "O", "O", "O", "O", "O", "O"], "fractional_positions": [[0.1671, 0.8329, 0.5000], [0.8329, 0.1671, 0.5000], [0.5000, 0.5000, 0.5000], [0.3311, 0.6689, 0.0000], [0.6689, 0.3311, 0.0000], [0.0000, 0.0000, 0.0000], [0.9298, 0.5803, 0.7987], [0.7177, 0.7177, 0.1993], [0.0702, 0.4197, 0.2013], [0.5803, 0.9298, 0.7987], [0.2823, 0.2823, 0.8007], [0.4197, 0.0702, 0.2013]], "magmom_total_mub_per_atom": 0.417, "total_energy_ev_per_atom": -6.08}